! Ga2BMo (PBE-GGA, optimized geometry); values from VASP
&SYSTEM
  ibrav = 0, nat = 8, ntyp = 3
/
ATOMIC_SPECIES
Ga 69.72 Ga.upf
B 10.81 B.upf
Mo 95.94 Mo.upf
ATOMIC_POSITIONS angstrom
Ga 5.221 1.181 -0.575
Ga 1.181 1.740 0.575
Ga -1.740 2.300 1.726
Ga 2.300 1.740 2.877
B 0.000 0.000 0.000
B 0.000 3.481 1.151
Mo 3.481 0.000 1.151
Mo 0.000 0.000 2.301
CELL_PARAMETERS angstrom
-3.481 3.481 2.301
3.481 -3.481 2.301
3.481 3.481 -2.301
! Space group: I-42d (122)
! Raw total energy: -43.539 eV per cell
! Energy of formation from the pure elements: 0.448 eV per atom
! Total moment: 0.00 μB per formula unit